CuTc2Br: relaxed, PBE-GGA.

Computed properties:
Energy, eV/atom: -5.68
Space group: Fm-3m
E above lowest polymorph, eV/atom: 0.590
Energy relative to the elements, uncorrected, eV/atom: 0.946

Unit cell a=4.3428 b=4.3428 c=4.3428 alpha=60.00 beta=60.00 gamma=60.00
Closest atoms and distances in Å follow each position.
Fractional positions:
Cu  0.0000  0.0000  0.0000  8 Tc 2.66
Tc  0.7500  0.7500  0.7500  4 Cu 2.66, 4 Br 2.66
Tc  0.2500  0.2500  0.2500  4 Br 2.66, 4 Cu 2.66
Br  0.5000  0.5000  0.5000  8 Tc 2.66



HoNiSn2: relaxed, PBE-GGA.

Computed properties:
Energy, eV/atom: -5.11
Space group: Immm
E_form, eV per formula unit: -2.09

Unit cell a=4.4281 b=9.2133 c=9.9956 alpha=117.44 beta=102.80 gamma=90.00
Closest atoms and distances in Å follow each position.
Fractional positions:
Sn  0.6972  0.0337  0.3944  3 Ni 2.52-2.78
Sn  0.0805  0.5805  0.1610  2 Ni 2.54, 1 Sn 2.77
Sn  0.9166  0.9166  0.8332  2 Ni 2.58, 1 Sn 2.87
Sn  0.6972  0.3606  0.3944  3 Ni 2.52-2.78
Sn  0.3028  0.6394  0.6056  3 Ni 2.52-2.78
Sn  0.0834  0.0834  0.1668  2 Ni 2.58, 1 Sn 2.87
Sn  0.3028  0.9663  0.6056  3 Ni 2.52-2.78
Sn  0.9195  0.4195  0.8390  2 Ni 2.54, 1 Sn 2.77
Ho  0.2957  0.2957  0.5915  8 Sn 3.07-3.17, 4 Ni 3.32
Ho  0.5000  0.2663  0.0000  4 Ni 3.36, 10 Sn 3.38-3.60
Ho  0.7043  0.7043  0.4085  8 Sn 3.07-3.17, 4 Ni 3.32
Ho  0.5000  0.7337  0.0000  4 Ni 3.36, 10 Sn 3.38-3.60
Ni  0.8530  0.5988  0.7061  5 Sn 2.52-2.78
Ni  0.1470  0.4012  0.2939  5 Sn 2.52-2.78
Ni  0.1470  0.8927  0.2939  5 Sn 2.52-2.78
Ni  0.8530  0.1073  0.7061  5 Sn 2.52-2.78